Record 1
A relaxed structure of LaSnO2. Source: the Alexandria database, functional GGA-PBE.

Summary:
As for the symmetry: I-42d. The calculation puts the formation energy without anion corrections at -1.906 eV per atom. For the total energy, the calculation gives -6.618 eV per atom.

Unit cell a=5.7081 b=5.7081 c=6.8546 alpha=65.39 beta=65.39 gamma=90.00
Closest atoms and distances in Å follow each position.
Positions (direct):
O: 0.0800 0.6250 0.2500  2 La 2.31
La: 0.7500 0.2500 0.5000  4 O 2.31
Sn: 0.5000 0.5000 0.0000  4 O 2.61
La: 0.0000 0.0000 0.0000  4 O 2.31
O: 0.8750 0.9200 0.7500  2 La 2.31
Sn: 0.2500 0.7500 0.5000  4 O 2.61
O: 0.3750 0.3300 0.7500  2 La 2.31
O: 0.6700 0.1250 0.2500  2 La 2.31

=====

Record 2
A relaxed structure of La3Sn2O. Source: the Alexandria database, functional GGA-PBE.

Summary:
As for the symmetry: Pnma. The calculation puts the formation energy without anion corrections at -1.456 eV per atom. For the total energy, the calculation gives -6.080 eV per atom.

Unit cell a=4.2685 b=9.4681 c=18.3288 alpha=90.00 beta=90.00 gamma=90.00
Closest atoms and distances in Å follow each position.
Positions (direct):
La: 0.2500 0.0245 0.1081  2 O 2.43
Sn: 0.7500 0.7519 0.0467  6 La 3.31-3.54
Sn: 0.2500 0.7481 0.5467  6 La 3.31-3.54
La: 0.2500 0.5245 0.3919  2 O 2.43
Sn: 0.2500 0.9191 0.2830  7 La 3.26-3.36
La: 0.2500 0.3226 0.7667  1 O 2.45
O: 0.2500 0.3638 0.6349  4 La 2.38-2.45
La: 0.7500 0.4755 0.6081  2 O 2.43
La: 0.7500 0.6774 0.2333  1 O 2.45
La: 0.7500 0.8621 0.4218  1 O 2.38
La: 0.7500 0.3621 0.0782  1 O 2.38
Sn: 0.7500 0.5809 0.7830  7 La 3.26-3.36
Sn: 0.7500 0.2519 0.4533  6 La 3.31-3.54
Sn: 0.7500 0.0809 0.7170  7 La 3.26-3.36
La: 0.2500 0.8226 0.7333  1 O 2.45
Sn: 0.2500 0.4191 0.2170  7 La 3.26-3.36
La: 0.7500 0.9755 0.8919  2 O 2.43
O: 0.2500 0.8638 0.8651  4 La 2.38-2.45
La: 0.7500 0.1774 0.2667  1 O 2.45
O: 0.7500 0.1362 0.1349  4 La 2.38-2.45
O: 0.7500 0.6362 0.3651  4 La 2.38-2.45
La: 0.2500 0.1379 0.5782  1 O 2.38
Sn: 0.2500 0.2481 0.9533  6 La 3.31-3.54
La: 0.2500 0.6379 0.9218  1 O 2.38